Below is a relaxed structure of InHI2O, with properties calculated at the PBE-GGA level.

Computed properties:
Total magnetic moment: 0.521 Bohr magnetons per cell
E: -2.63 eV/atom

abc: 6.035 6.035 3.868
angles: 90.00 90.00 90.00
Last column: magnetic moment on the atom in μB.
Element x y z (fractional)
1 I 0.000 0.500 0.000  -0.10
2 I 0.500 0.000 0.000  -0.10
3 H 0.500 0.500 0.500  0.36
4 O 0.000 0.000 0.500  -0.05
5 In 0.000 0.000 0.000  0.01